# 1
VASP calculation (GGA-PBEsol) on crystalline FeSbTe2Mo at its relaxed geometry.

Lattice parameters (Å, degrees): 5.189 5.189 5.189 90.00 90.00 90.00
Space group P4/mmm (No. 123)
One atom of each set of equivalent atoms:
Fe (0.000, 0.000, 0.000) x1
Sb (0.500, 0.500, 0.000) x1
Te (0.000, 0.500, 0.500) x2
Mo (0.500, 0.500, 0.500) x1

total DFT energy (no corrections): -26.8 eV per cell
ΔE_f (raw): 1.098 eV/atom

# 2
VASP calculation (GGA-PBEsol) on crystalline Re2PRh at its relaxed geometry.

Lattice parameters (Å, degrees): 5.077 7.703 2.808 90.00 90.00 90.00
Space group Cmmm (No. 65)
One atom of each set of equivalent atoms:
Re (0.250, 0.250, 0.000) x4
P (0.000, 0.000, 0.500) x2
Rh (0.000, 0.500, 0.500) x2

formation enthalpy at 0 K: 0.27 eV per atom
total DFT energy (no corrections): -79.0 eV per cell

# 3
VASP calculation (GGA-PBEsol) on crystalline TaSiRu2 at its relaxed geometry.

Lattice parameters (Å, degrees): 2.802 3.879 5.419 90.00 104.80 90.00
Space group P2/m (No. 10)
One atom of each set of equivalent atoms:
Ta (0.000, 0.000, 0.000) x1
Si (0.000, 0.000, 0.500) x1
Ru (0.380, 0.500, 0.729) x2

total DFT energy (no corrections): -39.9 eV per cell
ΔE_f (raw): -0.323 eV/atom